(1)
The following is a PBE calculation of Mn2RhBr after structural relaxation, from Alexandria via LeMat-Bulk.

CIF file:
```
data_Mn2RhBr
_chemical_formula_sum 'Mn2 Rh1 Br1'
_cell_length_a 3.194
_cell_length_b 3.228
_cell_length_c 7.267
_cell_angle_alpha 89.87
_cell_angle_beta 90.00
_cell_angle_gamma 90.00
_symmetry_space_group_name_H-M 'P 1'
_symmetry_Int_Tables_number 1
loop_
_symmetry_equiv_pos_as_xyz
'x,y,z'
loop_
_atom_site_label
_atom_site_type_symbol
_atom_site_fract_x
_atom_site_fract_y
_atom_site_fract_z
Br1 Br 0.500 0.750 0.750
Mn1 Mn 0.000 0.751 0.050
Mn2 Mn 0.000 0.749 0.450
Rh1 Rh 0.500 0.250 0.250
```

## Properties
Uncorrected formation energy = 0.04 eV per atom
E = -6.80 eV per atom
Crystal system = monoclinic
Excess energy over the best structure of this formula in the dataset = 0.0 meV/atom


(2)
The following is a PBE calculation of Pr6Sm2ErMg after structural relaxation, from Alexandria via LeMat-Bulk.

CIF file:
```
data_Pr6Sm2ErMg
_chemical_formula_sum 'Pr12 Sm4 Er2 Mg2'
_cell_length_a 9.894
_cell_length_b 8.831
_cell_length_c 8.831
_cell_angle_alpha 115.56
_cell_angle_beta 95.34
_cell_angle_gamma 95.34
_symmetry_space_group_name_H-M 'P 1'
_symmetry_Int_Tables_number 1
loop_
_symmetry_equiv_pos_as_xyz
'x,y,z'
loop_
_atom_site_label
_atom_site_type_symbol
_atom_site_fract_x
_atom_site_fract_y
_atom_site_fract_z
Pr1 Pr 0.050 0.121 0.754
Pr2 Pr 0.450 0.246 0.879
Pr3 Pr 0.950 0.879 0.246
Pr4 Pr 0.550 0.754 0.121
Pr5 Pr 0.306 0.999 0.428
Pr6 Pr 0.194 0.572 0.001
Pr7 Pr 0.694 0.001 0.572
Pr8 Pr 0.806 0.428 0.999
Pr9 Pr 0.113 0.701 0.508
Pr10 Pr 0.387 0.492 0.299
Pr11 Pr 0.887 0.299 0.492
Pr12 Pr 0.613 0.508 0.701
Sm1 Sm 0.446 0.803 0.711
Sm2 Sm 0.054 0.289 0.197
Sm3 Sm 0.554 0.197 0.289
Sm4 Sm 0.946 0.711 0.803
Er1 Er 0.250 0.983 0.017
Er2 Er 0.750 0.017 0.983
Mg1 Mg 0.250 0.405 0.595
Mg2 Mg 0.750 0.595 0.405
```

## Properties
E = -4.32 eV per atom
Crystal system = monoclinic
ΔE_f = 0.108 eV per atom


(3)
The following is a PBE calculation of Ti3InAu after structural relaxation, from Alexandria via LeMat-Bulk.

CIF file:
```
data_Ti3InAu
_chemical_formula_sum 'Ti3 In1 Au1'
_cell_length_a 4.955
_cell_length_b 4.955
_cell_length_c 4.955
_cell_angle_alpha 90.00
_cell_angle_beta 90.00
_cell_angle_gamma 90.00
_symmetry_space_group_name_H-M 'P 1'
_symmetry_Int_Tables_number 1
loop_
_symmetry_equiv_pos_as_xyz
'x,y,z'
loop_
_atom_site_label
_atom_site_type_symbol
_atom_site_fract_x
_atom_site_fract_y
_atom_site_fract_z
Ti1 Ti 0.000 0.500 0.000
Ti2 Ti 0.000 0.000 0.500
Ti3 Ti 0.500 0.000 0.000
Au1 Au 0.500 0.500 0.500
In1 In 0.000 0.000 0.000
```

## Properties
E = -4.75 eV per atom
Crystal system = cubic
ΔE_f = 1.187 eV per atom
Excess energy over the best structure of this formula in the dataset = 1215.0 meV/atom


(4)
The following is a PBE calculation of YSiRuCl2 after structural relaxation, from Alexandria via LeMat-Bulk.

CIF file:
```
data_YSiRuCl2
_chemical_formula_sum 'Y1 Si1 Ru1 Cl2'
_cell_length_a 4.584
_cell_length_b 5.692
_cell_length_c 4.584
_cell_angle_alpha 90.00
_cell_angle_beta 90.00
_cell_angle_gamma 90.00
_symmetry_space_group_name_H-M 'P 1'
_symmetry_Int_Tables_number 1
loop_
_symmetry_equiv_pos_as_xyz
'x,y,z'
loop_
_atom_site_label
_atom_site_type_symbol
_atom_site_fract_x
_atom_site_fract_y
_atom_site_fract_z
Y1 Y 0.000 0.500 0.000
Ru1 Ru 0.000 0.000 0.000
Si1 Si 0.500 0.500 0.500
Cl1 Cl 0.000 0.000 0.500
Cl2 Cl 0.500 0.000 0.000
```

## Properties
Uncorrected formation energy = 0.14 eV per atom
E = -4.83 eV per atom
Crystal system = tetragonal


(5)
The following is a PBE calculation of Pm8Er4Th after structural relaxation, from Alexandria via LeMat-Bulk.

CIF file:
```
data_Pm8Er4Th
_chemical_formula_sum 'Pm8 Er4 Th1'
_cell_length_a 7.348
_cell_length_b 7.348
_cell_length_c 10.337
_cell_angle_alpha 90.00
_cell_angle_beta 110.82
_cell_angle_gamma 120.00
_symmetry_space_group_name_H-M 'P 1'
_symmetry_Int_Tables_number 1
loop_
_symmetry_equiv_pos_as_xyz
'x,y,z'
loop_
_atom_site_label
_atom_site_type_symbol
_atom_site_fract_x
_atom_site_fract_y
_atom_site_fract_z
Pm1 Pm 0.570 0.785 0.354
Pm2 Pm 0.430 0.215 0.646
Pm3 Pm 0.494 0.247 0.293
Pm4 Pm 0.954 0.201 0.707
Pm5 Pm 0.506 0.753 0.707
Pm6 Pm 0.954 0.753 0.707
Pm7 Pm 0.046 0.247 0.293
Pm8 Pm 0.046 0.799 0.293
Er1 Er 0.000 0.000 0.000
Er2 Er 0.000 0.500 0.000
Er3 Er 0.500 0.500 0.000
Er4 Er 0.500 0.000 0.000
Th1 Th 0.000 0.500 0.500
```

## Properties
E = -4.67 eV per atom
Crystal system = trigonal
ΔE_f = 0.228 eV per atom


(6)
The following is a PBE calculation of Ba6MgIn3 after structural relaxation, from Alexandria via LeMat-Bulk.

CIF file:
```
data_Ba6MgIn3
_chemical_formula_sum 'Ba12 Mg2 In6'
_cell_length_a 9.763
_cell_length_b 9.881
_cell_length_c 11.455
_cell_angle_alpha 90.00
_cell_angle_beta 126.72
_cell_angle_gamma 90.00
_symmetry_space_group_name_H-M 'P 1'
_symmetry_Int_Tables_number 1
loop_
_symmetry_equiv_pos_as_xyz
'x,y,z'
loop_
_atom_site_label
_atom_site_type_symbol
_atom_site_fract_x
_atom_site_fract_y
_atom_site_fract_z
Ba1 Ba 0.754 0.268 0.977
Ba2 Ba 0.746 0.148 0.624
Ba3 Ba 0.774 0.350 0.351
Ba4 Ba 0.226 0.650 0.649
Ba5 Ba 0.254 0.852 0.376
Ba6 Ba 0.246 0.732 0.023
Ba7 Ba 0.254 0.232 0.477
Ba8 Ba 0.246 0.352 0.124
Ba9 Ba 0.274 0.150 0.851
Ba10 Ba 0.726 0.850 0.149
Ba11 Ba 0.754 0.648 0.876
Ba12 Ba 0.746 0.768 0.523
Mg1 Mg 0.500 0.500 0.500
Mg2 Mg 0.000 0.000 0.000
In1 In 0.532 0.964 0.756
In2 In 0.500 0.500 0.000
In3 In 0.468 0.036 0.244
In4 In 0.032 0.536 0.256
In5 In 0.000 0.000 0.500
In6 In 0.968 0.464 0.744
```

## Properties
E = -2.34 eV per atom
Crystal system = monoclinic
ΔE_f = -0.209 eV per atom
Excess energy over the best structure of this formula in the dataset = 36.4 meV/atom


(7)
The following is a PBE calculation of PrFePt4 after structural relaxation, from Alexandria via LeMat-Bulk.

CIF file:
```
data_PrFePt4
_chemical_formula_sum 'Pr2 Fe2 Pt8'
_cell_length_a 4.030
_cell_length_b 6.973
_cell_length_c 7.721
_cell_angle_alpha 90.00
_cell_angle_beta 90.00
_cell_angle_gamma 90.00
_symmetry_space_group_name_H-M 'P 1'
_symmetry_Int_Tables_number 1
loop_
_symmetry_equiv_pos_as_xyz
'x,y,z'
loop_
_atom_site_label
_atom_site_type_symbol
_atom_site_fract_x
_atom_site_fract_y
_atom_site_fract_z
Pr1 Pr 0.000 0.642 0.750
Pr2 Pr 0.000 0.358 0.250
Fe1 Fe 0.000 0.226 0.750
Fe2 Fe 0.000 0.774 0.250
Pt1 Pt 0.000 0.000 0.500
Pt2 Pt 0.000 0.000 0.000
Pt3 Pt 0.500 0.974 0.750
Pt4 Pt 0.500 0.026 0.250
Pt5 Pt 0.500 0.687 0.054
Pt6 Pt 0.500 0.313 0.946
Pt7 Pt 0.500 0.687 0.446
Pt8 Pt 0.500 0.313 0.554
```

## Properties
E = -6.76 eV per atom
Crystal system = orthorhombic
ΔE_f = -0.526 eV per atom


(8)
The following is a PBE calculation of Li5Au3I12 after structural relaxation, from Alexandria via LeMat-Bulk.

CIF file:
```
data_Li5Au3I12
_chemical_formula_sum 'Li20 Au12 I48'
_cell_length_a 15.701
_cell_length_b 15.701
_cell_length_c 15.701
_cell_angle_alpha 109.47
_cell_angle_beta 109.47
_cell_angle_gamma 109.47
_symmetry_space_group_name_H-M 'P 1'
_symmetry_Int_Tables_number 1
loop_
_symmetry_equiv_pos_as_xyz
'x,y,z'
loop_
_atom_site_label
_atom_site_type_symbol
_atom_site_fract_x
_atom_site_fract_y
_atom_site_fract_z
Au1 Au 0.750 0.375 0.125
Au2 Au 0.875 0.750 0.125
Au3 Au 0.375 0.750 0.625
Au4 Au 0.250 0.125 0.375
Au5 Au 0.875 0.125 0.250
Au6 Au 0.375 0.625 0.250
Au7 Au 0.625 0.375 0.750
Au8 Au 0.125 0.875 0.750
Au9 Au 0.750 0.875 0.625
Au10 Au 0.625 0.250 0.375
Au11 Au 0.125 0.250 0.875
Au12 Au 0.250 0.625 0.875
Li1 Li 0.125 0.375 0.250
Li2 Li 0.000 0.500 0.000
Li3 Li 0.000 0.000 0.000
Li4 Li 0.375 0.250 0.125
Li5 Li 0.500 0.000 0.500
Li6 Li 0.500 0.500 0.000
Li7 Li 0.125 0.750 0.375
Li8 Li 0.750 0.125 0.875
Li9 Li 0.750 0.625 0.375
Li10 Li 0.375 0.125 0.750
Li11 Li 0.625 0.875 0.250
Li12 Li 0.500 0.500 0.500
Li13 Li 0.500 0.000 0.000
Li14 Li 0.000 0.000 0.500
Li15 Li 0.250 0.375 0.625
Li16 Li 0.250 0.875 0.125
Li17 Li 0.000 0.500 0.500
Li18 Li 0.875 0.250 0.625
Li19 Li 0.625 0.750 0.875
Li20 Li 0.875 0.625 0.750
I1 I 0.614 0.171 0.970
I2 I 0.357 0.470 0.299
I3 I 0.030 0.329 0.386
I4 I 0.470 0.114 0.171
I5 I 0.442 0.614 0.643
I6 I 0.030 0.701 0.143
I7 I 0.357 0.886 0.558
I8 I 0.201 0.058 0.171
I9 I 0.701 0.030 0.643
I10 I 0.614 0.442 0.143
I11 I 0.886 0.530 0.329
I12 I 0.857 0.799 0.970
I13 I 0.171 0.614 0.470
I14 I 0.329 0.299 0.942
I15 I 0.942 0.799 0.329
I16 I 0.558 0.171 0.701
I17 I 0.942 0.143 0.114
I18 I 0.530 0.643 0.201
I19 I 0.857 0.058 0.386
I20 I 0.171 0.558 0.201
I21 I 0.329 0.030 0.886
I22 I 0.701 0.671 0.558
I23 I 0.799 0.857 0.470
I24 I 0.886 0.357 0.058
I25 I 0.299 0.329 0.442
I26 I 0.201 0.143 0.530
I27 I 0.114 0.643 0.942
I28 I 0.143 0.942 0.614
I29 I 0.671 0.970 0.114
I30 I 0.829 0.442 0.799
I31 I 0.470 0.357 0.799
I32 I 0.442 0.829 0.299
I33 I 0.058 0.857 0.886
I34 I 0.058 0.201 0.671
I35 I 0.829 0.386 0.530
I36 I 0.143 0.201 0.030
I37 I 0.671 0.701 0.058
I38 I 0.299 0.970 0.357
I39 I 0.386 0.558 0.857
I40 I 0.114 0.470 0.671
I41 I 0.799 0.942 0.829
I42 I 0.643 0.114 0.442
I43 I 0.530 0.886 0.829
I44 I 0.970 0.299 0.857
I45 I 0.558 0.386 0.357
I46 I 0.970 0.671 0.614
I47 I 0.643 0.530 0.701
I48 I 0.386 0.829 0.030
```

## Properties
Uncorrected formation energy = -0.51 eV per atom
E = -2.41 eV per atom
Crystal system = cubic